First-principles (PBE-GGA) data for Ba3SeN after structural relaxation, as listed in Alexandria via LeMat-Bulk.

For the size of the total moment, the calculation gives 0.000 μB per atom. For the uncorrected formation energy, the calculation gives -467 kJ/mol of formula units. The total energy comes out at -4.484 eV per atom.

a b c (Å): 7.789 10.006 10.006
angles (deg): 78.14 83.88 83.88
Positions (direct):
Se1 0.250 0.290 0.710
Ba1 0.588 0.097 0.617
Se2 0.750 0.710 0.290
Ba2 0.164 0.279 0.392
N1 0.530 0.838 0.684
Se3 0.250 0.908 0.092
Ba3 0.336 0.608 0.721
N2 0.970 0.316 0.162
Ba4 0.412 0.903 0.383
Ba5 0.664 0.392 0.279
Se4 0.750 0.092 0.908
Ba6 0.383 0.213 0.049
Ba7 0.117 0.951 0.787
N3 0.030 0.684 0.838
N4 0.470 0.162 0.316
Ba8 0.836 0.721 0.608
Ba9 0.617 0.787 0.951
Ba10 0.088 0.617 0.097
Ba11 0.883 0.049 0.213
Ba12 0.912 0.383 0.903